1.
## MnTePdI2 (PBE)

Data for an optimized crystal structure of MnTePdI2.

symmetry: No. 123
magnetization: 5.79 μB per formula unit
raw formation energy: 0.627 eV per atom

a = 6.2423 Å, b = 4.9752 Å, c = 6.2423 Å
α = 90.00°, β = 90.00°, γ = 90.00°
Last column: nearest neighbours and their distance in Å.
Element x y z (fractional)
1 I 0.0000 0.0000 0.5000  2 Te 3.12
2 I 0.5000 0.0000 0.0000  2 Te 3.12
3 Mn 0.5000 0.5000 0.5000  8 I 3.99, 4 Pd 4.41
4 Te 0.0000 0.0000 0.0000  2 Pd 2.49
5 Pd 0.0000 0.5000 0.0000  2 Te 2.49


2.
## MnTePdI2 (PBE)

Data for an optimized crystal structure of MnTePdI2.

symmetry: No. 123
magnetization: 3.46 μB per formula unit
raw formation energy: 0.476 eV per atom

a = 5.4597 Å, b = 5.4597 Å, c = 5.3074 Å
α = 90.00°, β = 90.00°, γ = 90.00°
Last column: nearest neighbours and their distance in Å.
Element x y z (fractional)
1 I 0.0000 0.5000 0.0000  2 Mn 2.73
2 I 0.5000 0.0000 0.0000  2 Mn 2.73
3 Mn 0.0000 0.0000 0.0000  2 Te 2.65, 4 I 2.73
4 Te 0.0000 0.0000 0.5000  2 Mn 2.65
5 Pd 0.5000 0.5000 0.5000  8 I 3.81, 4 Te 3.86


3.
## MnTePdI2 (PBE)

Data for an optimized crystal structure of MnTePdI2.

symmetry: No. 123
magnetization: 5.14 μB per formula unit
raw formation energy: 0.420 eV per atom

a = 5.4108 Å, b = 5.4108 Å, c = 5.4682 Å
α = 90.00°, β = 90.00°, γ = 90.00°
Last column: nearest neighbours and their distance in Å.
Element x y z (fractional)
1 I 0.0000 0.5000 0.0000  2 Pd 2.71
2 I 0.5000 0.0000 0.0000  2 Pd 2.71
3 Mn 0.5000 0.5000 0.5000  4 Te 3.83, 8 I 3.85
4 Te 0.0000 0.0000 0.5000  2 Pd 2.73
5 Pd 0.0000 0.0000 0.0000  4 I 2.71, 2 Te 2.73


4.
## Ti2MnPdI (PBE)

Data for an optimized crystal structure of Ti2MnPdI.

symmetry: No. 123
magnetization: 0.00 μB per formula unit
raw formation energy: 0.653 eV per atom

a = 4.4916 Å, b = 4.7997 Å, c = 4.4916 Å
α = 90.00°, β = 90.00°, γ = 90.00°
Last column: nearest neighbours and their distance in Å.
Element x y z (fractional)
1 I 0.0000 0.5000 0.0000  2 Mn 2.40
2 Mn 0.0000 0.0000 0.0000  4 Ti 2.25, 2 I 2.40
3 Pd 0.5000 0.5000 0.5000  4 I 3.18, 8 Ti 3.29
4 Ti 0.0000 0.0000 0.5000  2 Mn 2.25
5 Ti 0.5000 0.0000 0.0000  2 Mn 2.25


5.
## Pm2MnI8 (PBE)

Data for an optimized crystal structure of Pm2MnI8.

symmetry: No. 12
magnetization: 5.00 μB per formula unit
raw formation energy: -1.136 eV per atom

a = 4.1640 Å, b = 11.1749 Å, c = 11.0629 Å
α = 86.56°, β = 100.85°, γ = 90.00°
Last column: nearest neighbours and their distance in Å.
Element x y z (fractional)
1 Pm 0.1511 0.7403 0.3022  7 I 3.12-3.39
2 Pm 0.8489 0.2597 0.6978  7 I 3.12-3.39
3 Mn 0.5000 0.0000 0.0000  6 I 2.89-2.94
4 I 0.5966 0.5674 0.1931  2 Pm 3.12
5 I 0.3651 0.0380 0.7301  1 Mn 2.94, 2 Pm 3.24
6 I 0.2401 0.2980 0.4802  2 Pm 3.16
7 I 0.9980 0.8209 0.9961  2 Mn 2.89
8 I 0.7599 0.7020 0.5198  2 Pm 3.16
9 I 0.6349 0.9620 0.2699  1 Mn 2.94, 2 Pm 3.24
10 I 0.4034 0.4326 0.8069  2 Pm 3.12
11 I 0.0020 0.1791 0.0039  2 Mn 2.89


6.
## Pm7MnI12 (PBE)

Data for an optimized crystal structure of Pm7MnI12.

symmetry: No. 148
magnetization: 2.25 μB per formula unit
raw formation energy: -1.170 eV per atom

a = 11.1263 Å, b = 9.9664 Å, c = 9.9664 Å
α = 106.99°, β = 111.85°, γ = 111.85°
Last column: nearest neighbours and their distance in Å.
Element x y z (fractional)
1 Pm 0.0946 0.8006 0.0714  1 Mn 2.72
2 Pm 0.9768 0.0714 0.2708  1 Mn 2.72
3 Pm 0.7060 0.7292 0.8006  1 Mn 2.72
4 Pm 0.5000 0.0000 0.0000  6 I 3.12
5 Pm 0.2940 0.2708 0.1994  1 Mn 2.72
6 Pm 0.0232 0.9286 0.7292  1 Mn 2.72
7 Pm 0.9054 0.1994 0.9286  1 Mn 2.72
8 Mn 0.0000 0.0000 0.0000  6 Pm 2.72
9 I 0.2263 0.5430 0.1518  2 Pm 3.16-3.19
10 I 0.9256 0.1518 0.6088  2 Pm 3.16-3.19
11 I 0.6154 0.7744 0.0787  3 Pm 3.12-3.27
12 I 0.4633 0.0787 0.3043  3 Pm 3.12-3.27
13 I 0.3167 0.3912 0.5430  2 Pm 3.16-3.19
14 I 0.1590 0.6957 0.7744  3 Pm 3.12-3.27
15 I 0.8410 0.3043 0.2256  3 Pm 3.12-3.27
16 I 0.6833 0.6088 0.4570  2 Pm 3.16-3.19
17 I 0.5367 0.9213 0.6957  3 Pm 3.12-3.27
18 I 0.3846 0.2256 0.9213  3 Pm 3.12-3.27
19 I 0.0744 0.8482 0.3912  2 Pm 3.16-3.19
20 I 0.7737 0.4570 0.8482  2 Pm 3.16-3.19


7.
## PmMn3I9 (PBE)

Data for an optimized crystal structure of PmMn3I9.

symmetry: No. 9
magnetization: 15.00 μB per formula unit
raw formation energy: -0.682 eV per atom

a = 10.3913 Å, b = 11.5685 Å, c = 12.6701 Å
α = 75.01°, β = 65.79°, γ = 63.31°
Last column: nearest neighbours and their distance in Å.
Element x y z (fractional)
1 Pm 0.0198 0.4976 0.0076  6 I 3.11-3.16
2 Pm 0.4750 0.9976 0.5076  6 I 3.11-3.16
3 Mn 0.8178 0.5497 0.6723  4 I 2.71-2.72
4 Mn 0.9601 0.0497 0.1723  4 I 2.71-2.72
5 Mn 0.9867 0.9498 0.8365  4 I 2.70-2.72
6 Mn 0.2270 0.4498 0.3365  4 I 2.70-2.72
7 Mn 0.5902 0.2477 0.7151  4 I 2.71-2.73
8 Mn 0.4470 0.7477 0.2151  4 I 2.71-2.73
9 I 0.3182 0.1920 0.3302  1 Mn 2.71
10 I 0.1596 0.6920 0.8302  1 Mn 2.71
11 I 0.3658 0.3019 0.9253  1 Mn 2.72
12 I 0.4070 0.8019 0.4253  1 Mn 2.72
13 I 0.1661 0.0843 0.7122  1 Mn 2.70
14 I 0.0375 0.5843 0.2122  1 Mn 2.70
15 I 0.7179 0.7507 0.0586  1 Mn 2.71
16 I 0.4727 0.2507 0.5586  1 Mn 2.71
17 I 0.8230 0.9326 0.3750  1 Mn 2.72
18 I 0.8694 0.4326 0.8750  1 Mn 2.72
19 I 0.5742 0.7803 0.7004  1 Mn 2.71
20 I 0.9451 0.2803 0.2004  1 Mn 2.71
21 I 0.4858 0.4973 0.2259  2 Mn 2.71
22 I 0.7911 0.9973 0.7259  2 Mn 2.71
23 I 0.7552 0.3963 0.5870  2 Mn 2.71-2.73
24 I 0.2614 0.8963 0.0870  2 Mn 2.71-2.73
25 I 0.8084 0.0772 0.0316  2 Mn 2.71-2.72
26 I 0.0828 0.5772 0.5316  2 Mn 2.71-2.72


8.
## PmMnI6 (PBE)

Data for an optimized crystal structure of PmMnI6.

symmetry: No. 148
magnetization: 3.97 μB per formula unit
raw formation energy: -0.756 eV per atom

a = 7.3894 Å, b = 7.3883 Å, c = 7.9766 Å
α = 62.40°, β = 62.40°, γ = 59.99°
Last column: nearest neighbours and their distance in Å.
Element x y z (fractional)
1 Pm 0.5000 0.5000 0.5000  6 I 3.11
2 Mn 0.0000 0.0000 0.0000  6 I 2.81-2.82
3 I 0.0748 0.3947 0.7617  1 Mn 2.81, 1 Pm 3.11
4 I 0.7688 0.0748 0.7617  1 Mn 2.82, 1 Pm 3.11
5 I 0.6054 0.2312 0.2382  1 Mn 2.81, 1 Pm 3.11
6 I 0.2312 0.9252 0.2383  1 Mn 2.82, 1 Pm 3.11
7 I 0.9252 0.6053 0.2383  1 Mn 2.81, 1 Pm 3.11
8 I 0.3946 0.7688 0.7618  1 Mn 2.81, 1 Pm 3.11